# 1
VASP calculation (GGA+U) on a relaxed CrSiO2F crystal.

a b c (Å): 3.9333 3.9333 3.8001
angles (deg): 90.00 90.00 90.00
Last column: nearest neighbours and their distance in Å.
Atoms (fractional coordinates):
1 F 0.0000 0.0000 0.5000  2 Cr 1.90
2 Si 0.5000 0.5000 0.5000  8 O 2.73, 4 F 2.78
3 O 0.5000 0.0000 0.0000  2 Cr 1.97
4 O 0.0000 0.5000 0.0000  2 Cr 1.97
5 Cr 0.0000 0.0000 0.0000  2 F 1.90, 4 O 1.97

Results
Its space-group type is P4/mmm, No. 123. Its density of states at the Fermi level is 0.01 states/eV/atom.

***

# 2
VASP calculation (GGA+U) on a relaxed CrSiOF2 crystal.

a b c (Å): 4.0227 4.0227 3.9875
angles (deg): 90.00 90.00 90.00
Last column: nearest neighbours and their distance in Å.
Atoms (fractional coordinates):
1 F 0.0000 0.5000 0.0000  2 Cr 2.01
2 F 0.5000 0.0000 0.0000  2 Cr 2.01
3 O 0.0000 0.0000 0.5000  2 Cr 1.99
4 Si 0.5000 0.5000 0.5000  8 F 2.83, 4 O 2.84
5 Cr 0.0000 0.0000 0.0000  2 O 1.99, 4 F 2.01

Results
Its space-group type is P4/mmm, No. 123. Its density of states at the Fermi level is 0.38 states/eV/atom.

***

# 3
VASP calculation (GGA+U) on a relaxed SmCrO4F crystal.

a b c (Å): 6.0117 6.0117 6.7870
angles (deg): 77.21 77.21 75.77
Last column: nearest neighbours and their distance in Å.
Atoms (fractional coordinates):
1 Sm 0.7942 0.7942 0.1070  2 F 2.26-2.28, 4 O 2.40-2.44
2 Sm 0.2058 0.2058 0.8930  2 F 2.26-2.28, 4 O 2.40-2.44
3 F 0.0141 0.0141 0.1804  2 Sm 2.26-2.28
4 F 0.9859 0.9859 0.8196  2 Sm 2.26-2.28
5 Cr 0.3496 0.3496 0.2762  4 O 1.64-1.69
6 Cr 0.6504 0.6504 0.7238  4 O 1.64-1.69
7 O 0.2610 0.2610 0.5205  1 Cr 1.64
8 O 0.8769 0.5195 0.8474  1 Cr 1.69
9 O 0.7390 0.7390 0.4795  1 Cr 1.64
10 O 0.5195 0.8769 0.8474  1 Cr 1.69
11 O 0.5271 0.5271 0.2463  1 Cr 1.64
12 O 0.4729 0.4729 0.7537  1 Cr 1.64
13 O 0.4805 0.1231 0.1526  1 Cr 1.69
14 O 0.1231 0.4805 0.1526  1 Cr 1.69

Results
Its space-group type is C2/m, No. 12. Its density of states at the Fermi level is 0.00 states/eV/atom.

***

# 4
VASP calculation (GGA+U) on a relaxed CrSnOF2 crystal.

a b c (Å): 4.1591 4.1591 4.0514
angles (deg): 90.00 90.00 90.00
Last column: nearest neighbours and their distance in Å.
Atoms (fractional coordinates):
1 F 0.0000 0.5000 0.0000  2 Cr 2.08
2 F 0.5000 0.0000 0.0000  2 Cr 2.08
3 Cr 0.0000 0.0000 0.0000  2 O 2.03, 4 F 2.08
4 Sn 0.5000 0.5000 0.5000  8 F 2.90, 4 O 2.94
5 O 0.0000 0.0000 0.5000  2 Cr 2.03

Results
Its space-group type is P4/mmm, No. 123. Its density of states at the Fermi level is 0.20 states/eV/atom.

***

# 5
VASP calculation (GGA+U) on a relaxed CrSnO2F crystal.

a b c (Å): 4.0578 4.0578 4.2642
angles (deg): 90.00 90.00 90.00
Last column: nearest neighbours and their distance in Å.
Atoms (fractional coordinates):
1 O 0.0000 0.5000 0.0000  2 Sn 2.03
2 O 0.5000 0.0000 0.0000  2 Sn 2.03
3 Cr 0.5000 0.5000 0.5000  4 F 2.87, 8 O 2.94
4 F 0.0000 0.0000 0.5000  2 Sn 2.13
5 Sn 0.0000 0.0000 0.0000  4 O 2.03, 2 F 2.13

Results
Its space-group type is P4/mmm, No. 123. Its density of states at the Fermi level is 0.66 states/eV/atom.

***

# 6
VASP calculation (GGA+U) on a relaxed CrSnO2F crystal.

a b c (Å): 4.0087 4.0087 3.9190
angles (deg): 90.00 90.00 90.00
Last column: nearest neighbours and their distance in Å.
Atoms (fractional coordinates):
1 Sn 0.5000 0.5000 0.5000  8 O 2.80, 4 F 2.83
2 O 0.0000 0.5000 0.0000  2 Cr 2.00
3 O 0.5000 0.0000 0.0000  2 Cr 2.00
4 Cr 0.0000 0.0000 0.0000  2 F 1.96, 4 O 2.00
5 F 0.0000 0.0000 0.5000  2 Cr 1.96

Results
Its space-group type is P4/mmm, No. 123. Its density of states at the Fermi level is 0.00 states/eV/atom.

***

# 7
VASP calculation (GGA+U) on a relaxed CrSnOF2 crystal.

a b c (Å): 4.4760 4.4760 4.1349
angles (deg): 90.00 90.00 90.00
Last column: nearest neighbours and their distance in Å.
Atoms (fractional coordinates):
1 Sn 0.0000 0.0000 0.0000  2 O 2.07, 4 F 2.24
2 F 0.5000 0.0000 0.0000  2 Sn 2.24
3 F 0.0000 0.5000 0.0000  2 Sn 2.24
4 Cr 0.5000 0.5000 0.5000  8 F 3.05, 4 O 3.17
5 O 0.0000 0.0000 0.5000  2 Sn 2.07

Results
Its space-group type is P4/mmm, No. 123. Its density of states at the Fermi level is 0.12 states/eV/atom.

***

# 8
VASP calculation (GGA+U) on a relaxed Sr5Cr3O12F crystal.

a b c (Å): 10.0981 10.0981 7.5107
angles (deg): 90.00 90.00 120.00
Last column: nearest neighbours and their distance in Å.
Atoms (fractional coordinates):
1 Cr 0.9711 0.3700 0.7500  4 O 1.72-1.73
2 Cr 0.3989 0.0289 0.7500  4 O 1.72-1.73
3 Cr 0.3700 0.3989 0.2500  4 O 1.72-1.73
4 Cr 0.0289 0.6300 0.2500  4 O 1.72-1.73
5 Cr 0.6300 0.6011 0.7500  4 O 1.72-1.73
6 Cr 0.6011 0.9711 0.2500  4 O 1.72-1.73
7 O 0.4031 0.8714 0.2500  1 Cr 1.73
8 O 0.5969 0.1286 0.7500  1 Cr 1.73
9 O 0.1683 0.4782 0.7500  1 Cr 1.73
10 O 0.7469 0.6568 0.9342  1 Cr 1.72
11 O 0.9099 0.2531 0.9342  1 Cr 1.72
12 O 0.3432 0.0901 0.9342  1 Cr 1.72
13 O 0.9099 0.2531 0.5658  1 Cr 1.72
14 O 0.8714 0.4683 0.7500  1 Cr 1.73
15 O 0.6568 0.9099 0.4342  1 Cr 1.72
16 O 0.8317 0.5218 0.2500  1 Cr 1.73
17 O 0.5317 0.4031 0.7500  1 Cr 1.73
18 O 0.7469 0.6568 0.5658  1 Cr 1.72
19 O 0.5218 0.6901 0.7500  1 Cr 1.73
20 O 0.4782 0.3099 0.2500  1 Cr 1.73
21 O 0.0901 0.7469 0.4342  1 Cr 1.72
22 O 0.3432 0.0901 0.5658  1 Cr 1.72
23 O 0.0901 0.7469 0.0658  1 Cr 1.72
24 O 0.6901 0.1683 0.2500  1 Cr 1.73
25 O 0.4683 0.5969 0.2500  1 Cr 1.73
26 O 0.6568 0.9099 0.0658  1 Cr 1.72
27 O 0.1286 0.5317 0.2500  1 Cr 1.73
28 O 0.3099 0.8317 0.7500  1 Cr 1.73
29 O 0.2531 0.3432 0.4342  1 Cr 1.72
30 O 0.2531 0.3432 0.0658  1 Cr 1.72
31 Sr 0.7518 0.9937 0.7500  1 F 2.48, 6 O 2.54-2.77
32 Sr 0.6667 0.3333 0.4999  6 O 2.60-2.62
33 Sr 0.2482 0.0063 0.2500  1 F 2.48, 6 O 2.54-2.77
34 Sr 0.0063 0.7581 0.7500  1 F 2.48, 6 O 2.54-2.77
35 Sr 0.6667 0.3333 0.0001  6 O 2.60-2.62
36 Sr 0.9937 0.2419 0.2500  1 F 2.48, 6 O 2.54-2.77
37 Sr 0.3333 0.6667 0.9999  6 O 2.60-2.62
38 Sr 0.2419 0.2482 0.7500  1 F 2.48, 6 O 2.54-2.77
39 Sr 0.3333 0.6667 0.5001  6 O 2.60-2.62
40 Sr 0.7581 0.7518 0.2500  1 F 2.48, 6 O 2.54-2.77
41 F 0.0000 0.0000 0.2500  3 Sr 2.48
42 F 0.0000 0.0000 0.7500  3 Sr 2.48

Results
Its space-group type is P6_3/m, No. 176.

***

# 9
VASP calculation (GGA+U) on a relaxed SrCrO2F crystal.

a b c (Å): 3.9902 3.9902 3.9435
angles (deg): 90.00 90.00 90.00
Last column: nearest neighbours and their distance in Å.
Atoms (fractional coordinates):
1 O 0.0000 0.5000 0.0000  2 Cr 2.00
2 O 0.5000 0.0000 0.0000  2 Cr 2.00
3 Sr 0.5000 0.5000 0.5000  8 O 2.81, 4 F 2.82
4 Cr 0.0000 0.0000 0.0000  2 F 1.97, 4 O 2.00
5 F 0.0000 0.0000 0.5000  2 Cr 1.97

Results
Its space-group type is P4/mmm, No. 123.

***

# 10
VASP calculation (GGA+U) on a relaxed SrCrO4F crystal.

a b c (Å): 6.3316 6.3316 6.6026
angles (deg): 86.58 86.58 75.91
Last column: nearest neighbours and their distance in Å.
Atoms (fractional coordinates):
1 Cr 0.3873 0.3873 0.2818  4 O 1.64-1.70
2 Cr 0.6127 0.6127 0.7182  4 O 1.64-1.70
3 O 0.6685 0.6685 0.4685  1 Cr 1.70, 1 O 1.83
4 O 0.4992 0.8380 0.8336  1 Cr 1.64
5 O 0.1620 0.5008 0.1664  1 Cr 1.64
6 O 0.8380 0.4992 0.8336  1 Cr 1.64
7 O 0.5008 0.1620 0.1664  1 Cr 1.64
8 O 0.5581 0.5581 0.2593  1 Cr 1.70, 1 O 1.83
9 O 0.3315 0.3315 0.5315  1 Cr 1.70, 1 O 1.83
10 O 0.4419 0.4419 0.7407  1 Cr 1.70, 1 O 1.83
11 F 0.0413 0.0413 0.1981  2 Sr 2.32-2.34
12 F 0.9587 0.9587 0.8019  2 Sr 2.32-2.34
13 Sr 0.1784 0.1784 0.8943  2 F 2.32-2.34
14 Sr 0.8216 0.8216 0.1057  2 F 2.32-2.34

Results
Its space-group type is C2/m, No. 12.

***

# 11
VASP calculation (GGA+U) on a relaxed Sr5Cr3O12F crystal.

a b c (Å): 10.1174 10.1174 7.3290
angles (deg): 90.00 90.00 120.00
Last column: nearest neighbours and their distance in Å.
Atoms (fractional coordinates):
1 O 0.3460 0.0897 0.9362  1 Cr 1.72
2 O 0.5997 0.1253 0.7500  1 Cr 1.73
3 O 0.1253 0.5256 0.2500  1 Cr 1.73
4 O 0.7437 0.6540 0.9362  1 Cr 1.72
5 O 0.4744 0.5997 0.2500  1 Cr 1.73
6 O 0.7437 0.6540 0.5638  1 Cr 1.72
7 O 0.0897 0.7437 0.4362  1 Cr 1.72
8 O 0.1699 0.4781 0.7500  1 Cr 1.72
9 O 0.0897 0.7437 0.0638  1 Cr 1.72
10 O 0.9103 0.2563 0.5638  1 Cr 1.72
11 O 0.6540 0.9103 0.0638  1 Cr 1.72
12 O 0.8747 0.4744 0.7500  1 Cr 1.73
13 O 0.6540 0.9103 0.4362  1 Cr 1.72
14 O 0.3460 0.0897 0.5638  1 Cr 1.72
15 O 0.2563 0.3460 0.4362  1 Cr 1.72
16 O 0.3082 0.8301 0.7500  1 Cr 1.72
17 O 0.4003 0.8747 0.2500  1 Cr 1.73
18 O 0.5219 0.6918 0.7500  1 Cr 1.72
19 O 0.2563 0.3460 0.0638  1 Cr 1.72
20 O 0.6918 0.1699 0.2500  1 Cr 1.72
21 O 0.4781 0.3082 0.2500  1 Cr 1.72
22 O 0.8301 0.5219 0.2500  1 Cr 1.72
23 O 0.9103 0.2563 0.9362  1 Cr 1.72
24 O 0.5256 0.4003 0.7500  1 Cr 1.73
25 Cr 0.6242 0.5978 0.7500  4 O 1.72-1.73
26 Cr 0.4022 0.0264 0.7500  4 O 1.72-1.73
27 Cr 0.5978 0.9736 0.2500  4 O 1.72-1.73
28 Cr 0.9736 0.3758 0.7500  4 O 1.72-1.73
29 Cr 0.0264 0.6242 0.2500  4 O 1.72-1.73
30 Cr 0.3758 0.4022 0.2500  4 O 1.72-1.73
31 F 0.0000 0.0000 0.5000  6 Sr 3.01, 6 O 3.18
32 F 0.0000 0.0000 0.0000  6 Sr 3.01, 6 O 3.18
33 Sr 0.0010 0.7639 0.7500  5 O 2.51-2.64
34 Sr 0.3333 0.6667 0.0002  6 O 2.57-2.61
35 Sr 0.7639 0.7630 0.2500  5 O 2.51-2.64
36 Sr 0.9990 0.2361 0.2500  5 O 2.51-2.64
37 Sr 0.6667 0.3333 0.5002  6 O 2.57-2.61
38 Sr 0.2361 0.2370 0.7500  5 O 2.51-2.64
39 Sr 0.6667 0.3333 0.9998  6 O 2.57-2.61
40 Sr 0.3333 0.6667 0.4998  6 O 2.57-2.61
41 Sr 0.7630 0.9990 0.7500  5 O 2.51-2.64
42 Sr 0.2370 0.0010 0.2500  5 O 2.51-2.64

Results
Its space-group type is P6_3/m, No. 176.

***

E_tot values (in eV for the cell shown) by entry order: -30.68 -28.02 -100.78 -28.87 -29.42 -31.43 -27.03 -284.67 -33.74 -86.96 -283.28.
Magnetic moment values (in μB per atom) by entry order: 0.600 0.721 0.000 0.758 0.970 0.600 0.998 0.143 0.602 0.010 0.143.